Entry 1:
Here is LiRuAu after structural relaxation from Alexandria via LeMat-Bulk. Energies are from GGA-PBEsol.

Lattice parameters (Å, degrees): 6.6028 6.6028 6.6028 157.13 157.13 32.57
Closest atoms and distances in Å follow each position.
Sites, in units of the cell vectors:
Li (0.0000, 0.0000, 0.0000)  4 Li 2.62, 4 Ru 2.78, 4 Au 2.79
Ru (0.6638, 0.6638, 0.0000)  4 Ru 2.62, 4 Li 2.78, 4 Au 2.86
Au (0.3357, 0.3357, 0.0000)  4 Au 2.62, 4 Li 2.79, 4 Ru 2.86

## Properties
As for the density of states at the Fermi level: 2.40 states/eV per cell. The total moment comes out at 0.00 μB/cell. The formation energy comes out at 189 meV/atom.



Entry 2:
Here is LiRu2Au after structural relaxation from Alexandria via LeMat-Bulk. Energies are from GGA-PBEsol.

Lattice parameters (Å, degrees): 3.2911 3.2911 5.1226 90.00 90.00 90.00
Closest atoms and distances in Å follow each position.
Sites, in units of the cell vectors:
Li (0.0000, 0.0000, 0.0000)  2 Au 2.56, 8 Ru 2.60
Ru (0.5000, 0.5000, 0.2252)  1 Ru 2.31
Ru (0.5000, 0.5000, 0.7748)  1 Ru 2.31
Au (0.0000, 0.0000, 0.5000)  2 Li 2.56, 8 Ru 2.72

## Properties
Its energy above the lowest structure with this stoichiometry is 0.253 eV per atom. As for the density of states at the Fermi level: 4.11 states/eV per cell. The total moment comes out at 0.00 μB/cell. The formation energy comes out at 483 meV/atom.



Entry 3:
Here is LiTlRuAu2 after structural relaxation from Alexandria via LeMat-Bulk. Energies are from GGA-PBEsol.

Lattice parameters (Å, degrees): 5.0353 5.0353 5.0642 90.00 90.00 90.00
Closest atoms and distances in Å follow each position.
Sites, in units of the cell vectors:
Li (0.0000, 0.0000, 0.0000)  4 Tl 3.56, 8 Au 3.57
Tl (0.5000, 0.5000, 0.0000)  2 Ru 2.53
Ru (0.5000, 0.5000, 0.5000)  4 Au 2.52, 2 Tl 2.53
Au (0.0000, 0.5000, 0.5000)  2 Ru 2.52
Au (0.5000, 0.0000, 0.5000)  2 Ru 2.52

## Properties
As for the density of states at the Fermi level: 4.17 states/eV per cell. The total moment comes out at 0.67 μB/cell. The formation energy comes out at 633 meV/atom.



Entry 4:
Here is Li2SbAu after structural relaxation from Alexandria via LeMat-Bulk. Energies are from GGA-PBEsol.

Lattice parameters (Å, degrees): 3.0430 4.0477 5.6723 90.00 90.00 90.00
Closest atoms and distances in Å follow each position.
Sites, in units of the cell vectors:
Li (0.0000, 0.0000, 0.2394)  2 Li 2.72-2.96, 4 Au 2.87, 4 Sb 2.93
Li (0.0000, 0.0000, 0.7606)  2 Li 2.72-2.96, 4 Au 2.87, 4 Sb 2.93
Sb (0.5000, 0.5000, 0.5000)  2 Au 2.84, 8 Li 2.93, 2 Sb 3.04
Au (0.5000, 0.5000, 0.0000)  2 Sb 2.84, 8 Li 2.87, 2 Au 3.04

## Properties
The formation energy (no corrections) is -0.4669 eV per atom. As for the density of states at the Fermi level: 1.12 states/eV per cell. The total moment comes out at 0.00 μB/cell.



Entry 5:
Here is LiSb2Au after structural relaxation from Alexandria via LeMat-Bulk. Energies are from GGA-PBEsol.

Lattice parameters (Å, degrees): 3.2172 3.2172 8.1381 90.00 90.00 90.00
Closest atoms and distances in Å follow each position.
Sites, in units of the cell vectors:
Li (0.0000, 0.0000, 0.0000)  8 Sb 3.04, 4 Li 3.22
Sb (0.5000, 0.5000, 0.2477)  4 Li 3.04, 4 Au 3.06, 4 Sb 3.22
Sb (0.5000, 0.5000, 0.7523)  4 Li 3.04, 4 Au 3.06, 4 Sb 3.22
Au (0.0000, 0.0000, 0.5000)  8 Sb 3.06, 4 Au 3.22

## Properties
Its energy above the lowest structure with this stoichiometry is 0.145 eV per atom. The formation energy (no corrections) is -0.0602 eV per atom. As for the density of states at the Fermi level: 1.92 states/eV per cell. The total moment comes out at 0.00 μB/cell.



Entry 6:
Here is Li2SbAu after structural relaxation from Alexandria via LeMat-Bulk. Energies are from GGA-PBEsol.

Lattice parameters (Å, degrees): 4.7969 4.7969 3.0999 90.00 90.00 105.95
Closest atoms and distances in Å follow each position.
Sites, in units of the cell vectors:
Li (0.0000, 0.5000, 0.0000)  4 Sb 2.86, 4 Au 2.86, 4 Li 2.89-3.10
Li (0.5000, 0.0000, 0.0000)  4 Sb 2.86, 4 Au 2.86, 4 Li 2.89-3.10
Sb (0.0000, 0.0000, 0.5000)  8 Li 2.86, 2 Au 2.89, 2 Sb 3.10
Au (0.5000, 0.5000, 0.5000)  8 Li 2.86, 2 Sb 2.89, 2 Au 3.10

## Properties
The formation energy (no corrections) is -0.4753 eV per atom. As for the density of states at the Fermi level: 0.75 states/eV per cell. The total moment comes out at 0.00 μB/cell.



Entry 7:
Here is Li2SbAu after structural relaxation from Alexandria via LeMat-Bulk. Energies are from GGA-PBEsol.

Lattice parameters (Å, degrees): 4.6019 4.6019 4.6019 60.00 60.00 60.00
Closest atoms and distances in Å follow each position.
Sites, in units of the cell vectors:
Li (0.0000, 0.0000, 0.0000)  4 Li 2.82, 4 Sb 2.82
Li (0.2500, 0.2500, 0.2500)  4 Au 2.82, 4 Li 2.82
Sb (0.7500, 0.7500, 0.7500)  4 Li 2.82, 4 Au 2.82
Au (0.5000, 0.5000, 0.5000)  4 Sb 2.82, 4 Li 2.82

## Properties
The formation energy (no corrections) is -0.5547 eV per atom. As for the density of states at the Fermi level: 0.23 states/eV per cell. The total moment comes out at 0.00 μB/cell.



Entry 8:
Here is LiSbAu after structural relaxation from Alexandria via LeMat-Bulk. Energies are from GGA-PBEsol.

Lattice parameters (Å, degrees): 4.4427 4.4427 4.4427 60.00 60.00 60.00
Closest atoms and distances in Å follow each position.
Sites, in units of the cell vectors:
Li (0.0000, 0.0000, 0.0000)  4 Au 2.72
Sb (0.5000, 0.5000, 0.5000)  4 Au 2.72
Au (0.2500, 0.2500, 0.2500)  4 Sb 2.72, 4 Li 2.72

## Properties
Its energy above the lowest structure with this stoichiometry is 0.000 eV per atom. The formation energy (no corrections) is -0.4726 eV per atom. As for the density of states at the Fermi level: 1.19 states/eV per cell. The total moment comes out at 0.00 μB/cell.



Entry 9:
Here is Li2SbAu after structural relaxation from Alexandria via LeMat-Bulk. Energies are from GGA-PBEsol.

Lattice parameters (Å, degrees): 3.0266 4.1016 5.7756 90.00 90.00 90.00
Closest atoms and distances in Å follow each position.
Sites, in units of the cell vectors:
Li (0.0000, 0.0000, 0.0000)  4 Au 2.76, 2 Sb 2.82-2.96, 6 Li 3.00-3.03
Li (0.5000, 0.5000, 0.2744)  1 Au 2.65, 4 Sb 2.90
Sb (0.0000, 0.0000, 0.5123)  6 Li 2.82-2.96, 2 Sb 3.03, 4 Au 3.09
Au (0.5000, 0.5000, 0.8149)  5 Li 2.65-2.76

## Properties
The formation energy (no corrections) is -0.3392 eV per atom. As for the density of states at the Fermi level: 1.58 states/eV per cell. The total moment comes out at 0.00 μB/cell.



Entry 10:
Here is Li2SbAu after structural relaxation from Alexandria via LeMat-Bulk. Energies are from GGA-PBEsol.

Lattice parameters (Å, degrees): 3.0471 4.5955 4.9245 90.00 90.00 90.00
Closest atoms and distances in Å follow each position.
Sites, in units of the cell vectors:
Li (0.0000, 0.0000, 0.0000)  4 Au 2.82-2.97, 4 Li 2.83-3.05, 4 Sb 2.88
Li (0.0000, 0.5000, 0.3370)  4 Li 2.83-3.05, 4 Au 2.85, 4 Sb 2.86-2.93
Sb (0.5000, 0.5000, 0.8297)  8 Li 2.86-2.93, 2 Au 2.87, 2 Sb 3.05
Au (0.5000, 0.0000, 0.4819)  8 Li 2.82-2.97, 2 Sb 2.87, 2 Au 3.05

## Properties
The formation energy (no corrections) is -0.4589 eV per atom. As for the density of states at the Fermi level: 1.24 states/eV per cell. The total moment comes out at 0.00 μB/cell.



Entry 11:
Here is LiSb2Au after structural relaxation from Alexandria via LeMat-Bulk. Energies are from GGA-PBEsol.

Lattice parameters (Å, degrees): 4.5249 4.5249 4.0612 90.00 90.00 90.00
Closest atoms and distances in Å follow each position.
Sites, in units of the cell vectors:
Li (0.0000, 0.0000, 0.0000)  8 Sb 3.04, 4 Au 3.20
Sb (0.0000, 0.5000, 0.5000)  4 Li 3.04, 4 Au 3.04, 4 Sb 3.20
Sb (0.5000, 0.0000, 0.5000)  4 Li 3.04, 4 Au 3.04, 4 Sb 3.20
Au (0.5000, 0.5000, 0.0000)  8 Sb 3.04, 4 Li 3.20

## Properties
Its energy above the lowest structure with this stoichiometry is 0.000 eV per atom. The formation energy (no corrections) is -0.2056 eV per atom. As for the density of states at the Fermi level: 1.35 states/eV per cell. The total moment comes out at 0.00 μB/cell.



Entry 12:
Here is Li2SbAu after structural relaxation from Alexandria via LeMat-Bulk. Energies are from GGA-PBEsol.

Lattice parameters (Å, degrees): 4.9341 4.9341 4.9341 130.31 130.31 72.92
Closest atoms and distances in Å follow each position.
Sites, in units of the cell vectors:
Li (0.2500, 0.7500, 0.5000)  4 Sb 2.87, 4 Au 2.87, 4 Li 2.93
Li (0.7500, 0.2500, 0.5000)  4 Sb 2.87, 4 Au 2.87, 4 Li 2.93
Sb (0.0000, 0.0000, 0.0000)  8 Li 2.87, 4 Au 2.93
Au (0.5000, 0.5000, 0.0000)  8 Li 2.87, 4 Sb 2.93

## Properties
The formation energy (no corrections) is -0.5354 eV per atom. As for the density of states at the Fermi level: 0.61 states/eV per cell. The total moment comes out at 0.00 μB/cell.



Entry 13:
Here is LiSb2Au after structural relaxation from Alexandria via LeMat-Bulk. Energies are from GGA-PBEsol.

Lattice parameters (Å, degrees): 5.4696 5.4696 5.4696 136.61 127.68 70.25
Closest atoms and distances in Å follow each position.
Sites, in units of the cell vectors:
Li (0.0000, 0.0000, 0.0000)  8 Sb 3.14-3.19, 4 Au 3.15
Sb (0.2751, 0.7751, 0.5000)  2 Au 2.85, 4 Li 3.14-3.19, 4 Sb 3.18
Sb (0.7249, 0.2249, 0.5000)  2 Au 2.85, 4 Li 3.14-3.19, 4 Sb 3.18
Au (0.5000, 0.5000, 0.0000)  4 Sb 2.85, 4 Li 3.15

## Properties
Its energy above the lowest structure with this stoichiometry is 0.053 eV per atom. The formation energy (no corrections) is -0.1526 eV per atom. As for the density of states at the Fermi level: 1.73 states/eV per cell. The total moment comes out at 0.00 μB/cell.



Entry 14:
Here is LiSb2Au after structural relaxation from Alexandria via LeMat-Bulk. Energies are from GGA-PBEsol.

Lattice parameters (Å, degrees): 4.9931 4.9931 4.9931 60.00 60.00 60.00
Closest atoms and distances in Å follow each position.
Sites, in units of the cell vectors:
Li (0.0000, 0.0000, 0.0000)  4 Au 3.06, 4 Sb 3.06
Sb (0.2500, 0.2500, 0.2500)  4 Sb 3.06, 4 Li 3.06
Sb (0.5000, 0.5000, 0.5000)  4 Sb 3.06, 4 Au 3.06
Au (0.7500, 0.7500, 0.7500)  4 Li 3.06, 4 Sb 3.06

## Properties
Its energy above the lowest structure with this stoichiometry is 0.150 eV per atom. The formation energy (no corrections) is -0.0558 eV per atom. As for the density of states at the Fermi level: 1.23 states/eV per cell. The total moment comes out at 0.00 μB/cell.



Entry 15:
Here is LiSbAu after structural relaxation from Alexandria via LeMat-Bulk. Energies are from GGA-PBEsol.

Lattice parameters (Å, degrees): 4.6303 4.6303 3.2434 90.00 90.00 120.00
Closest atoms and distances in Å follow each position.
Sites, in units of the cell vectors:
Li (0.0000, 0.0000, 0.0000)  6 Sb 3.13, 6 Au 3.13, 2 Li 3.24
Sb (0.6667, 0.3333, 0.5000)  3 Au 2.67
Au (0.3333, 0.6667, 0.5000)  3 Sb 2.67

## Properties
Its energy above the lowest structure with this stoichiometry is 0.084 eV per atom. The formation energy (no corrections) is -0.3885 eV per atom. As for the density of states at the Fermi level: 0.50 states/eV per cell. The total moment comes out at 0.00 μB/cell.